The following is a GGA-PBEsol calculation of a relaxed structure of KSr2Rh, from the Alexandria database.

Values from the calculation:
For the total moment, the calculation gives 0.00 μB/atom. As for the calculated volume: 42.7 A^3/atom. The density of states at the Fermi level is 4.20 states/eV per cell. The crystal system is monoclinic. For the mass density, the calculation gives 3.086 Mg/m³. The value obtained for the formation energy is 0 meV per atom.

Cell lengths 7.5240, 4.3375, 10.7355 Å; angles 90.00, 102.98, 90.00 degrees
With the nearest neighbours (Å) after each atom.
Space group C2/m (No. 12)
Inequivalent atoms, fractional coordinates:
K 0.0000 0.0000 0.0000 (multiplicity 2)  6 K 4.34, 6 Sr 4.47-4.51
Sr 0.2126 0.0000 0.6428 (multiplicity 4)  3 Rh 2.92
Rh 0.0000 0.5000 0.5000 (multiplicity 2)  6 Sr 2.92

---

The following is a GGA-PBEsol calculation of a relaxed structure of Sr2AlAs, from the Alexandria database.

Values from the calculation:
For the total moment, the calculation gives 0.00 μB/atom. As for the calculated volume: 28.1 A^3/atom. The density of states at the Fermi level is 12.62 states/eV per cell. The crystal system is cubic. For the mass density, the calculation gives 4.099 Mg/m³. The value obtained for the formation energy is -404 meV per atom.

Cell lengths 7.6582, 7.6582, 7.6582 Å; angles 90.00, 90.00, 90.00 degrees
With the nearest neighbours (Å) after each atom.
Space group Fm-3m (No. 225)
Inequivalent atoms, fractional coordinates:
Sr 0.2500 0.2500 0.2500 (multiplicity 8)  4 As 3.32, 4 Al 3.32
Al 0.0000 0.0000 0.0000 (multiplicity 4)  8 Sr 3.32
As 0.0000 0.0000 0.5000 (multiplicity 4)  8 Sr 3.32

---

no.,ΔE to the lowest computed polymorph (meV per atom)
1,0
2,0